Density functional theory data (GGA-PBE) for a relaxed structure of CaPmTm2Sb4.

Calculated values
raw formation energy	-1.02	eV per atom

```
data_CaPmTm2Sb4
_symmetry_space_group_name_H-M 'P 1 2/m 1'
_symmetry_Int_Tables_number 10
_cell_length_a 7.658
_cell_length_b 4.395
_cell_length_c 7.709
_cell_angle_alpha 90.00
_cell_angle_beta 109.10
_cell_angle_gamma 90.00
loop_
_symmetry_equiv_pos_as_xyz
'x,y,z'
'-x,-y,-z'
'-x,y,-z'
'x,-y,z'
loop_
_atom_site_label
_atom_site_fract_x
_atom_site_fract_y
_atom_site_fract_z
Ca1 0.000 0.000 0.000
Pm1 0.500 0.500 0.000
Tm1 0.000 0.500 0.500
Tm2 0.500 0.000 0.500
Sb1 0.247 0.000 0.739
Sb2 0.256 0.500 0.263
```

Density functional theory data (GGA-PBE) for a relaxed structure of Na2Zr2NpSe6.

Calculated values
raw formation energy	-1.28	eV per atom

```
data_Na2Zr2NpSe6
_symmetry_space_group_name_H-M 'C 1 2/m 1'
_symmetry_Int_Tables_number 12
_cell_length_a 6.806
_cell_length_b 11.870
_cell_length_c 7.520
_cell_angle_alpha 90.00
_cell_angle_beta 107.41
_cell_angle_gamma 90.00
loop_
_symmetry_equiv_pos_as_xyz
'x,y,z'
'-x,-y,-z'
'-x,y,-z'
'x,-y,z'
'x+1/2,y+1/2,z'
'-x+1/2,-y+1/2,-z'
'-x+1/2,y+1/2,-z'
'x+1/2,-y+1/2,z'
loop_
_atom_site_label
_atom_site_fract_x
_atom_site_fract_y
_atom_site_fract_z
Na1 0.000 0.163 0.000
Zr1 0.000 0.333 0.500
Np1 0.000 0.000 0.500
Se1 0.225 0.500 0.724
Se2 0.247 0.173 0.724
```

Density functional theory data (GGA-PBE) for a relaxed structure of Mg2ScZn.

Calculated values
formation energy	-51.8	kJ/mol of formula units

```
data_Mg2ScZn
_symmetry_space_group_name_H-M 'P 4/m m m'
_symmetry_Int_Tables_number 123
_symmetry_space_group_name_Hall '-P 4 2'
_cell_length_a 4.209
_cell_length_b 4.209
_cell_length_c 4.607
_cell_angle_alpha 90.00
_cell_angle_beta 90.00
_cell_angle_gamma 90.00
loop_
_atom_site_label
_atom_site_fract_x
_atom_site_fract_y
_atom_site_fract_z
Mg1 0.000 0.500 0.000
Sc1 0.000 0.000 0.500
Zn1 0.500 0.500 0.500
```

Density functional theory data (GGA-PBE) for a relaxed structure of CaOs2Se.

Calculated values
raw formation energy	0.18	eV per atom

```
data_CaOs2Se
_symmetry_space_group_name_H-M 'P 4 m m'
_symmetry_Int_Tables_number 99
_cell_length_a 3.039
_cell_length_b 3.039
_cell_length_c 7.751
_cell_angle_alpha 90.00
_cell_angle_beta 90.00
_cell_angle_gamma 90.00
loop_
_symmetry_equiv_pos_as_xyz
'x,y,z'
'-y,x,z'
'-x,-y,z'
'y,-x,z'
'-x,y,z'
'y,x,z'
'x,-y,z'
'-y,-x,z'
loop_
_atom_site_label
_atom_site_fract_x
_atom_site_fract_y
_atom_site_fract_z
Ca1 0.000 0.000 0.000
Os1 0.000 0.000 0.482
Os2 0.500 0.500 0.288
Se1 0.500 0.500 0.712
```

Density functional theory data (GGA-PBE) for a relaxed structure of Tc2SbCl.

Calculated values
E above lowest polymorph	0.052	eV/atom
raw formation energy	-0.04	eV per atom

```
data_Tc2SbCl
_symmetry_space_group_name_H-M 'I 4 m m'
_symmetry_Int_Tables_number 107
_symmetry_space_group_name_Hall 'I 4 -2'
_cell_length_a 3.102
_cell_length_b 3.102
_cell_length_c 17.395
_cell_angle_alpha 90.00
_cell_angle_beta 90.00
_cell_angle_gamma 90.00
loop_
_atom_site_label
_atom_site_fract_x
_atom_site_fract_y
_atom_site_fract_z
Tc1 0.000 0.000 0.000
Tc2 0.000 0.000 0.422
Sb1 0.000 0.000 0.612
Cl1 0.000 0.000 0.293
```

Density functional theory data (GGA-PBE) for a relaxed structure of Y4Tl2Cd.

Calculated values
formation energy	-172.0	kJ/mol of formula units

```
data_Y4Tl2Cd
_symmetry_space_group_name_H-M 'R -3 m'
_symmetry_Int_Tables_number 166
_symmetry_space_group_name_Hall '-R 3 2"'
_cell_length_a 5.2710
_cell_length_b 5.2710
_cell_length_c 25.6535
_cell_angle_alpha 90.00
_cell_angle_beta 90.00
_cell_angle_gamma 120.00
loop_
_atom_site_label
_atom_site_fract_x
_atom_site_fract_y
_atom_site_fract_z
Y1 0.0000 0.0000 0.1209
Y2 0.0000 0.0000 0.3725
Tl1 0.0000 0.0000 0.2502
Cd1 0.0000 0.0000 0.5000
```

Density functional theory data (GGA-PBE) for a relaxed structure of Cs2SiBr2F4.

Calculated values
raw formation energy	-2.48	eV per atom

```
data_Cs2SiBr2F4
_symmetry_space_group_name_H-M 'C 1 2/m 1'
_symmetry_Int_Tables_number 12
_cell_length_a 10.987
_cell_length_b 7.132
_cell_length_c 6.785
_cell_angle_alpha 90.00
_cell_angle_beta 98.19
_cell_angle_gamma 90.00
loop_
_symmetry_equiv_pos_as_xyz
'x,y,z'
'-x,-y,-z'
'-x,y,-z'
'x,-y,z'
'x+1/2,y+1/2,z'
'-x+1/2,-y+1/2,-z'
'-x+1/2,y+1/2,-z'
'x+1/2,-y+1/2,z'
loop_
_atom_site_label
_atom_site_fract_x
_atom_site_fract_y
_atom_site_fract_z
Cs1 0.178 0.000 0.200
Si1 0.000 0.500 0.000
Br1 0.174 0.500 0.280
F1 0.072 0.331 0.885
```

Density functional theory data (GGA-PBE) for a relaxed structure of Ba2MgSiAu6.

Calculated values
raw formation energy	-0.53	eV per atom

```
data_Ba2MgSiAu6
_symmetry_space_group_name_H-M 'P -1'
_symmetry_Int_Tables_number 2
_cell_length_a 6.827
_cell_length_b 6.838
_cell_length_c 7.351
_cell_angle_alpha 62.41
_cell_angle_beta 62.55
_cell_angle_gamma 60.34
loop_
_symmetry_equiv_pos_as_xyz
'x,y,z'
'-x,-y,-z'
loop_
_atom_site_label
_atom_site_fract_x
_atom_site_fract_y
_atom_site_fract_z
Ba1 0.214 0.215 0.356
Mg1 0.500 0.500 0.500
Si1 0.000 0.000 0.000
Au1 0.245 0.672 0.837
Au2 0.247 0.244 0.840
Au3 0.333 0.754 0.158
```

Density functional theory data (GGA-PBE) for a relaxed structure of CoCuCl2.

Calculated values
E above lowest polymorph	0.240	eV/atom
raw formation energy	0.11	eV per atom

```
data_CoCuCl2
_symmetry_space_group_name_H-M 'C 1 2/m 1'
_symmetry_Int_Tables_number 12
_cell_length_a 6.770
_cell_length_b 6.781
_cell_length_c 3.399
_cell_angle_alpha 90.00
_cell_angle_beta 91.31
_cell_angle_gamma 90.00
loop_
_symmetry_equiv_pos_as_xyz
'x,y,z'
'-x,-y,-z'
'-x,y,-z'
'x,-y,z'
'x+1/2,y+1/2,z'
'-x+1/2,-y+1/2,-z'
'-x+1/2,y+1/2,-z'
'x+1/2,-y+1/2,z'
loop_
_atom_site_label
_atom_site_fract_x
_atom_site_fract_y
_atom_site_fract_z
Co1 0.000 0.000 0.000
Cu1 0.000 0.500 0.000
Cl1 0.250 0.250 0.000
```

Density functional theory data (GGA-PBE) for a relaxed structure of Pu2Zn3InAu4.

Calculated values
formation energy	-287.1	kJ/mol of formula units

```
data_Pu2Zn3InAu4
_symmetry_space_group_name_H-M 'P -4 m 2'
_symmetry_Int_Tables_number 115
_cell_length_a 4.250
_cell_length_b 4.250
_cell_length_c 11.753
_cell_angle_alpha 90.00
_cell_angle_beta 90.00
_cell_angle_gamma 90.00
loop_
_symmetry_equiv_pos_as_xyz
'x,y,z'
'y,-x,-z'
'-x,-y,z'
'-y,x,-z'
'-x,y,z'
'-y,-x,-z'
'x,-y,z'
'y,x,-z'
loop_
_atom_site_label
_atom_site_fract_x
_atom_site_fract_y
_atom_site_fract_z
Pu1 0.000 0.500 0.238
Zn1 0.000 0.500 0.869
Zn2 0.500 0.500 0.500
In1 0.000 0.000 0.500
Au1 0.000 0.000 0.000
Au2 0.000 0.500 0.654
Au3 0.500 0.500 0.000
```

Density functional theory data (GGA-PBE) for a relaxed structure of Y2ZrTl3S6.

Calculated values
raw formation energy	-1.34	eV per atom

```
data_Y2ZrTl3S6
_symmetry_space_group_name_H-M 'C 1 2/m 1'
_symmetry_Int_Tables_number 12
_cell_length_a 6.730
_cell_length_b 11.678
_cell_length_c 8.297
_cell_angle_alpha 90.00
_cell_angle_beta 106.35
_cell_angle_gamma 90.00
loop_
_symmetry_equiv_pos_as_xyz
'x,y,z'
'-x,-y,-z'
'-x,y,-z'
'x,-y,z'
'x+1/2,y+1/2,z'
'-x+1/2,-y+1/2,-z'
'-x+1/2,y+1/2,-z'
'x+1/2,-y+1/2,z'
loop_
_atom_site_label
_atom_site_fract_x
_atom_site_fract_y
_atom_site_fract_z
Y1 0.000 0.166 0.000
Zr1 0.000 0.500 0.000
Tl1 0.000 0.000 0.500
Tl2 0.000 0.332 0.500
S1 0.223 0.341 0.187
S2 0.248 0.000 0.189
```

Density functional theory data (GGA-PBE) for a relaxed structure of Co2CuPd2.

Calculated values
E above lowest polymorph	0.064	eV/atom
formation energy	148.0	kJ/mol of formula units

```
data_Co2CuPd2
_symmetry_space_group_name_H-M 'P 4/m b m'
_symmetry_Int_Tables_number 127
_symmetry_space_group_name_Hall '-P 4 2ab'
_cell_length_a 7.273
_cell_length_b 7.273
_cell_length_c 2.692
_cell_angle_alpha 90.00
_cell_angle_beta 90.00
_cell_angle_gamma 90.00
loop_
_atom_site_label
_atom_site_fract_x
_atom_site_fract_y
_atom_site_fract_z
Co1 0.166 0.334 0.000
Cu1 0.000 0.000 0.500
Pd1 0.133 0.633 0.500
```